Entry 1:
# La2TiVCr

A relaxed La2TiVCr crystal (PBE, Alexandria via LeMat-Bulk).

Output
- Volume: 140.4 Å³/cell
- Symmetry: P4/mmm

Structure (POSCAR):
```
La2TiVCr
1.0
-4.690 2.407 1.929
-0.258 -3.078 3.213
3.067 3.270 3.378
Cr Ti V La
1 1 1 2
Direct
0.500 0.500 0.500 Cr
0.000 0.000 0.000 Ti
0.000 0.500 0.000 V
0.000 0.000 0.500 La
0.500 0.000 0.000 La
```

***

Entry 2:
# LaTlCr2

A relaxed LaTlCr2 crystal (PBE, Alexandria via LeMat-Bulk).

Output
- Volume: 92.4 Å³/cell
- E above lowest polymorph: 0.1870 eV per atom
- Symmetry: Pmmm

Structure (POSCAR):
```
LaTlCr2
1.0
4.656 0.000 0.000
0.000 4.571 0.792
0.000 3.838 5.008
Tl Cr La
1 2 1
Direct
0.000 0.000 0.500 Tl
0.000 0.000 0.000 Cr
0.500 0.500 0.000 Cr
0.500 0.500 0.500 La
```

***

Entry 3:
# LaTlCr3

A relaxed LaTlCr3 crystal (PBE, Alexandria via LeMat-Bulk).

Output
- Volume: 96.6 Å³/cell
- Symmetry: Pm-3m

Structure (POSCAR):
```
LaTlCr3
1.0
-4.310 0.721 1.401
-1.536 -1.007 -4.205
-0.353 -4.419 1.187
Tl Cr La
1 3 1
Direct
0.500 0.500 0.500 Tl
0.000 0.000 0.500 Cr
0.000 0.500 0.000 Cr
0.500 0.000 0.000 Cr
0.000 0.000 0.000 La
```

***

For the records above, the corresponding energy of formation values read 0.959 0.445 2.040 eV/atom.